The following is a GGA-PBE calculation of a relaxed structure of TmTlIn2, from the Alexandria database.

Properties
- Space group: I4/mmm, No. 139
- Energy of formation from the pure elements: -242 meV per atom

Cell: 5.9688 5.9688 5.9688 Å, 135.58 135.58 64.64°
Atoms (fractional coordinates):
Tm (0.0000, 0.0000, 0.0000)
Tl (0.5000, 0.5000, 0.0000)
In (0.2500, 0.7500, 0.5000)
In (0.7500, 0.2500, 0.5000)